The following is a DFT calculation (SCAN) of a PBEsol-optimized structure of ScIn2As.

Output
Formation enthalpy at 0 K = -9.2 kcal/mol of atoms
SG = R3m (160)

abc: 3.7524 3.7524 8.1130
angles: 76.63 76.63 60.00
Fractional coordinates of all 4 atoms:
As 0.2450 0.2450 0.2649
In 0.9884 0.9884 0.0348
In 0.7516 0.7516 0.7451
Sc 0.5149 0.5149 0.4552

---

The following is a DFT calculation (SCAN) of a PBEsol-optimized structure of ScIn2As.

Output
Formation enthalpy at 0 K = -9.2 kcal/mol of atoms
SG = P4/mmm (123)

abc: 4.9350 4.1214 4.1214
angles: 89.97 90.00 90.00
Fractional coordinates of all 4 atoms:
As 0.5000 0.5000 0.5000
In 0.0000 0.5000 0.0000
In 0.0000 0.0000 0.5000
Sc 0.5000 0.0000 0.0000

---

The following is a DFT calculation (SCAN) of a PBEsol-optimized structure of Sc2InAs.

Output
Formation enthalpy at 0 K = -22.0 kcal/mol of atoms
SG = R-3m (166)

abc: 3.6726 3.6726 7.8664
angles: 76.50 76.50 60.00
Fractional coordinates of all 4 atoms:
Sc 0.7354 0.7354 0.7937
Sc 0.2646 0.2646 0.2063
As 0.0000 0.0000 0.0000
In 0.5000 0.5000 0.5000

---

The following is a DFT calculation (SCAN) of a PBEsol-optimized structure of Sc2InAs.

Output
Formation enthalpy at 0 K = -16.5 kcal/mol of atoms
SG = P4/mmm (123)

abc: 3.9720 3.9720 5.6153
angles: 90.00 90.00 90.00
Fractional coordinates of all 4 atoms:
As 0.0000 0.0000 0.3753
In 0.5000 0.5000 0.8746
Sc 0.0000 0.0000 0.8753
Sc 0.5000 0.5000 0.3747